P.
This record from OQMD describes crystalline LuCuReB at its relaxed geometry. The functional is GGA-PBE.

a b c (Å): 6.1086 6.1086 6.1086
angles (deg): 90.00 90.00 90.00
With the nearest neighbours (Å) after each atom.
Element x y z (fractional)
Lu (0.0000, 0.0000, 0.0000)  4 Cu 2.65, 4 Re 2.65
Lu (0.0000, 0.5000, 0.5000)  4 Cu 2.65, 4 Re 2.65
Lu (0.5000, 0.0000, 0.5000)  4 Cu 2.65, 4 Re 2.65
Lu (0.5000, 0.5000, 0.0000)  4 Cu 2.65, 4 Re 2.65
Cu (0.2500, 0.2500, 0.7500)  4 B 2.65, 4 Lu 2.65
Cu (0.2500, 0.7500, 0.2500)  4 B 2.65, 4 Lu 2.65
Cu (0.7500, 0.2500, 0.2500)  4 B 2.65, 4 Lu 2.65
Cu (0.7500, 0.7500, 0.7500)  4 B 2.65, 4 Lu 2.65
Re (0.2500, 0.2500, 0.2500)  4 Lu 2.65, 4 B 2.65
Re (0.2500, 0.7500, 0.7500)  4 B 2.65, 4 Lu 2.65
Re (0.7500, 0.2500, 0.7500)  4 B 2.65, 4 Lu 2.65
Re (0.7500, 0.7500, 0.2500)  4 Lu 2.65, 4 B 2.65
B (0.0000, 0.0000, 0.5000)  4 Re 2.65, 4 Cu 2.65
B (0.0000, 0.5000, 0.0000)  4 Re 2.65, 4 Cu 2.65
B (0.5000, 0.0000, 0.0000)  4 Re 2.65, 4 Cu 2.65
B (0.5000, 0.5000, 0.5000)  4 Re 2.65, 4 Cu 2.65

Values from the calculation:
- space group = F-43m (216)
- calculated density (g/cm³) = 12.69
- magnetization (μB/cell) = 0.01

=====

Q.
This record from OQMD describes crystalline LuCuReB at its relaxed geometry. The functional is GGA-PBE.

a b c (Å): 6.2200 6.2200 6.2200
angles (deg): 90.00 90.00 90.00
With the nearest neighbours (Å) after each atom.
Element x y z (fractional)
Lu (0.0000, 0.0000, 0.0000)  4 B 2.69, 4 Re 2.69
Lu (0.0000, 0.5000, 0.5000)  4 B 2.69, 4 Re 2.69
Lu (0.5000, 0.0000, 0.5000)  4 B 2.69, 4 Re 2.69
Lu (0.5000, 0.5000, 0.0000)  4 Re 2.69, 4 B 2.69
Cu (0.0000, 0.0000, 0.5000)  4 Re 2.69, 4 B 2.69
Cu (0.0000, 0.5000, 0.0000)  4 Re 2.69, 4 B 2.69
Cu (0.5000, 0.0000, 0.0000)  4 Re 2.69, 4 B 2.69
Cu (0.5000, 0.5000, 0.5000)  4 Re 2.69, 4 B 2.69
Re (0.2500, 0.2500, 0.7500)  4 Cu 2.69, 4 Lu 2.69
Re (0.2500, 0.7500, 0.2500)  4 Cu 2.69, 4 Lu 2.69
Re (0.7500, 0.2500, 0.2500)  4 Cu 2.69, 4 Lu 2.69
Re (0.7500, 0.7500, 0.7500)  4 Cu 2.69, 4 Lu 2.69
B (0.2500, 0.2500, 0.2500)  4 Cu 2.69, 4 Lu 2.69
B (0.2500, 0.7500, 0.7500)  4 Cu 2.69, 4 Lu 2.69
B (0.7500, 0.2500, 0.7500)  4 Cu 2.69, 4 Lu 2.69
B (0.7500, 0.7500, 0.2500)  4 Cu 2.69, 4 Lu 2.69

Values from the calculation:
- space group = F-43m (216)
- calculated density (g/cm³) = 12.02
- magnetization (μB/cell) = 0.21

=====

Which of them is the least stable? Correct choice: Q.

=====

P.
This record from OQMD describes crystalline MgCuNiB at its relaxed geometry. The functional is GGA-PBE.

a b c (Å): 5.6692 5.6692 5.6692
angles (deg): 90.00 90.00 90.00
With the nearest neighbours (Å) after each atom.
Element x y z (fractional)
Mg (0.0000, 0.0000, 0.0000)  4 Ni 2.45, 4 B 2.45
Mg (0.0000, 0.5000, 0.5000)  4 Ni 2.45, 4 B 2.45
Mg (0.5000, 0.0000, 0.5000)  4 Ni 2.45, 4 B 2.45
Mg (0.5000, 0.5000, 0.0000)  4 Ni 2.45, 4 B 2.45
Cu (0.0000, 0.0000, 0.5000)  4 Ni 2.45, 4 B 2.45
Cu (0.0000, 0.5000, 0.0000)  4 Ni 2.45, 4 B 2.45
Cu (0.5000, 0.0000, 0.0000)  4 Ni 2.45, 4 B 2.45
Cu (0.5000, 0.5000, 0.5000)  4 Ni 2.45, 4 B 2.45
Ni (0.2500, 0.2500, 0.7500)  4 Mg 2.45, 4 Cu 2.45
Ni (0.2500, 0.7500, 0.2500)  4 Mg 2.45, 4 Cu 2.45
Ni (0.7500, 0.2500, 0.2500)  4 Mg 2.45, 4 Cu 2.45
Ni (0.7500, 0.7500, 0.7500)  4 Mg 2.45, 4 Cu 2.45
B (0.2500, 0.2500, 0.2500)  4 Mg 2.45, 4 Cu 2.45
B (0.2500, 0.7500, 0.7500)  4 Mg 2.45, 4 Cu 2.45
B (0.7500, 0.2500, 0.7500)  4 Mg 2.45, 4 Cu 2.45
B (0.7500, 0.7500, 0.2500)  4 Mg 2.45, 4 Cu 2.45

Values from the calculation:
- space group = F-43m (216)
- calculated density (g/cm³) = 5.74
- magnetization (μB/cell) = 0.01

=====

Q.
This record from OQMD describes crystalline MgCuNiB at its relaxed geometry. The functional is GGA-PBE.

a b c (Å): 5.5982 5.5982 5.5982
angles (deg): 90.00 90.00 90.00
With the nearest neighbours (Å) after each atom.
Element x y z (fractional)
Mg (0.0000, 0.0000, 0.0000)  4 Ni 2.42, 4 Cu 2.42
Mg (0.0000, 0.5000, 0.5000)  4 Ni 2.42, 4 Cu 2.42
Mg (0.5000, 0.0000, 0.5000)  4 Ni 2.42, 4 Cu 2.42
Mg (0.5000, 0.5000, 0.0000)  4 Ni 2.42, 4 Cu 2.42
Cu (0.2500, 0.2500, 0.7500)  4 Mg 2.42, 4 B 2.42
Cu (0.2500, 0.7500, 0.2500)  4 Mg 2.42, 4 B 2.42
Cu (0.7500, 0.2500, 0.2500)  4 Mg 2.42, 4 B 2.42
Cu (0.7500, 0.7500, 0.7500)  4 Mg 2.42, 4 B 2.42
Ni (0.2500, 0.2500, 0.2500)  4 B 2.42, 4 Mg 2.42
Ni (0.2500, 0.7500, 0.7500)  4 Mg 2.42, 4 B 2.42
Ni (0.7500, 0.2500, 0.7500)  4 Mg 2.42, 4 B 2.42
Ni (0.7500, 0.7500, 0.2500)  4 Mg 2.42, 4 B 2.42
B (0.0000, 0.0000, 0.5000)  4 Ni 2.42, 4 Cu 2.42
B (0.0000, 0.5000, 0.0000)  4 Ni 2.42, 4 Cu 2.42
B (0.5000, 0.0000, 0.0000)  4 Ni 2.42, 4 Cu 2.42
B (0.5000, 0.5000, 0.5000)  4 Ni 2.42, 4 Cu 2.42

Values from the calculation:
- space group = F-43m (216)
- calculated density (g/cm³) = 5.96
- magnetization (μB/cell) = 0.02

=====

Which of them is the least stable? Correct choice: P.

=====

P.
This record from OQMD describes crystalline MgCuBW at its relaxed geometry. The functional is GGA-PBE.

a b c (Å): 5.8671 5.8671 5.8671
angles (deg): 90.00 90.00 90.00
With the nearest neighbours (Å) after each atom.
Element x y z (fractional)
Mg (0.0000, 0.0000, 0.0000)  4 W 2.54, 4 Cu 2.54
Mg (0.0000, 0.5000, 0.5000)  4 Cu 2.54, 4 W 2.54
Mg (0.5000, 0.0000, 0.5000)  4 Cu 2.54, 4 W 2.54
Mg (0.5000, 0.5000, 0.0000)  4 W 2.54, 4 Cu 2.54
Cu (0.2500, 0.2500, 0.7500)  4 Mg 2.54, 4 B 2.54
Cu (0.2500, 0.7500, 0.2500)  4 Mg 2.54, 4 B 2.54
Cu (0.7500, 0.2500, 0.2500)  4 Mg 2.54, 4 B 2.54
Cu (0.7500, 0.7500, 0.7500)  4 Mg 2.54, 4 B 2.54
B (0.0000, 0.0000, 0.5000)  4 W 2.54, 4 Cu 2.54
B (0.0000, 0.5000, 0.0000)  4 W 2.54, 4 Cu 2.54
B (0.5000, 0.0000, 0.0000)  4 W 2.54, 4 Cu 2.54
B (0.5000, 0.5000, 0.5000)  4 W 2.54, 4 Cu 2.54
W (0.2500, 0.2500, 0.2500)  4 Mg 2.54, 4 B 2.54
W (0.2500, 0.7500, 0.7500)  4 Mg 2.54, 4 B 2.54
W (0.7500, 0.2500, 0.7500)  4 Mg 2.54, 4 B 2.54
W (0.7500, 0.7500, 0.2500)  4 Mg 2.54, 4 B 2.54

Values from the calculation:
- space group = F-43m (216)
- calculated density (g/cm³) = 9.29
- magnetization (μB/cell) = 0.27

=====

Q.
This record from OQMD describes crystalline MgCuBW at its relaxed geometry. The functional is GGA-PBE.

a b c (Å): 5.9825 5.9825 5.9825
angles (deg): 90.00 90.00 90.00
With the nearest neighbours (Å) after each atom.
Element x y z (fractional)
Mg (0.0000, 0.0000, 0.0000)  4 W 2.59, 4 B 2.59
Mg (0.0000, 0.5000, 0.5000)  4 W 2.59, 4 B 2.59
Mg (0.5000, 0.0000, 0.5000)  4 W 2.59, 4 B 2.59
Mg (0.5000, 0.5000, 0.0000)  4 W 2.59, 4 B 2.59
Cu (0.0000, 0.0000, 0.5000)  4 W 2.59, 4 B 2.59
Cu (0.0000, 0.5000, 0.0000)  4 W 2.59, 4 B 2.59
Cu (0.5000, 0.0000, 0.0000)  4 W 2.59, 4 B 2.59
Cu (0.5000, 0.5000, 0.5000)  4 W 2.59, 4 B 2.59
B (0.2500, 0.2500, 0.2500)  4 Mg 2.59, 4 Cu 2.59
B (0.2500, 0.7500, 0.7500)  4 Mg 2.59, 4 Cu 2.59
B (0.7500, 0.2500, 0.7500)  4 Mg 2.59, 4 Cu 2.59
B (0.7500, 0.7500, 0.2500)  4 Mg 2.59, 4 Cu 2.59
W (0.2500, 0.2500, 0.7500)  4 Mg 2.59, 4 Cu 2.59
W (0.2500, 0.7500, 0.2500)  4 Mg 2.59, 4 Cu 2.59
W (0.7500, 0.2500, 0.2500)  4 Mg 2.59, 4 Cu 2.59
W (0.7500, 0.7500, 0.7500)  4 Mg 2.59, 4 Cu 2.59

Values from the calculation:
- space group = F-43m (216)
- calculated density (g/cm³) = 8.76
- magnetization (μB/cell) = 8.46

=====

Which of them is the least stable? Correct choice: Q.

=====

P.
This record from OQMD describes crystalline YMgCuB at its relaxed geometry. The functional is GGA-PBE.

a b c (Å): 6.3101 6.3101 6.3101
angles (deg): 90.00 90.00 90.00
With the nearest neighbours (Å) after each atom.
Element x y z (fractional)
Y (0.0000, 0.0000, 0.0000)  4 Mg 2.73, 4 B 2.73
Y (0.0000, 0.5000, 0.5000)  4 Mg 2.73, 4 B 2.73
Y (0.5000, 0.0000, 0.5000)  4 Mg 2.73, 4 B 2.73
Y (0.5000, 0.5000, 0.0000)  4 Mg 2.73, 4 B 2.73
Mg (0.2500, 0.2500, 0.7500)  4 Cu 2.73, 4 Y 2.73
Mg (0.2500, 0.7500, 0.2500)  4 Cu 2.73, 4 Y 2.73
Mg (0.7500, 0.2500, 0.2500)  4 Cu 2.73, 4 Y 2.73
Mg (0.7500, 0.7500, 0.7500)  4 Cu 2.73, 4 Y 2.73
Cu (0.0000, 0.0000, 0.5000)  4 Mg 2.73, 4 B 2.73
Cu (0.0000, 0.5000, 0.0000)  4 Mg 2.73, 4 B 2.73
Cu (0.5000, 0.0000, 0.0000)  4 Mg 2.73, 4 B 2.73
Cu (0.5000, 0.5000, 0.5000)  4 Mg 2.73, 4 B 2.73
B (0.2500, 0.2500, 0.2500)  4 Cu 2.73, 4 Y 2.73
B (0.2500, 0.7500, 0.7500)  4 Cu 2.73, 4 Y 2.73
B (0.7500, 0.2500, 0.7500)  4 Cu 2.73, 4 Y 2.73
B (0.7500, 0.7500, 0.2500)  4 Cu 2.73, 4 Y 2.73

Values from the calculation:
- space group = F-43m (216)
- calculated density (g/cm³) = 4.96
- magnetization (μB/cell) = 0.00

=====

Q.
This record from OQMD describes crystalline YMgCuB at its relaxed geometry. The functional is GGA-PBE.

a b c (Å): 6.3022 6.3022 6.3022
angles (deg): 90.00 90.00 90.00
With the nearest neighbours (Å) after each atom.
Element x y z (fractional)
Y (0.0000, 0.0000, 0.0000)  4 Cu 2.73, 4 Mg 2.73
Y (0.0000, 0.5000, 0.5000)  4 Cu 2.73, 4 Mg 2.73
Y (0.5000, 0.0000, 0.5000)  4 Cu 2.73, 4 Mg 2.73
Y (0.5000, 0.5000, 0.0000)  4 Cu 2.73, 4 Mg 2.73
Mg (0.2500, 0.2500, 0.7500)  4 B 2.73, 4 Y 2.73
Mg (0.2500, 0.7500, 0.2500)  4 B 2.73, 4 Y 2.73
Mg (0.7500, 0.2500, 0.2500)  4 B 2.73, 4 Y 2.73
Mg (0.7500, 0.7500, 0.7500)  4 B 2.73, 4 Y 2.73
Cu (0.2500, 0.2500, 0.2500)  4 B 2.73, 4 Y 2.73
Cu (0.2500, 0.7500, 0.7500)  4 B 2.73, 4 Y 2.73
Cu (0.7500, 0.2500, 0.7500)  4 B 2.73, 4 Y 2.73
Cu (0.7500, 0.7500, 0.2500)  4 B 2.73, 4 Y 2.73
B (0.0000, 0.0000, 0.5000)  4 Mg 2.73, 4 Cu 2.73
B (0.0000, 0.5000, 0.0000)  4 Mg 2.73, 4 Cu 2.73
B (0.5000, 0.0000, 0.0000)  4 Mg 2.73, 4 Cu 2.73
B (0.5000, 0.5000, 0.5000)  4 Mg 2.73, 4 Cu 2.73

Values from the calculation:
- space group = F-43m (216)
- calculated density (g/cm³) = 4.98
- magnetization (μB/cell) = 0.00

=====

Which of them is the least stable? Correct choice: Q.